Record 1
The following is a GGA-PBE calculation of PuMgO3 after structural relaxation, from Alexandria via LeMat-Bulk.

## Properties
**Raw total energy**: -8.4975 eV/atom
**Energy relative to the elements, uncorrected**: -2337 meV/atom

Cell: 3.830 3.830 3.830 Å, 90.00 90.00 90.00°
Space group Pm-3m (No. 221)
One atom of each set of equivalent atoms:
1 Pu 0.000 0.000 0.000
2 Mg 0.500 0.500 0.500
3 O 0.000 0.500 0.500

Record 2
The following is a GGA-PBE calculation of CoNiTe4 after structural relaxation, from Alexandria via LeMat-Bulk.

## Properties
**Raw total energy**: -4.4601 eV/atom
**Polymorph energy (0 for the lowest one)**: 0.3 meV/atom
**Energy relative to the elements, uncorrected**: -218 meV/atom

Cell: 5.427 3.848 6.686 Å, 90.00 90.83 90.00°
Space group P2/m (No. 10)
One atom of each set of equivalent atoms:
1 Co 0.000 0.000 0.000
2 Ni 0.000 0.500 0.500
3 Te 0.235 0.000 0.331
4 Te 0.242 0.500 0.844

Record 3
The following is a GGA-PBE calculation of Ta2ZnCl8 after structural relaxation, from Alexandria via LeMat-Bulk.

## Properties
**Raw total energy**: -4.6613 eV/atom
**Energy relative to the elements, uncorrected**: -1047 meV/atom

Cell: 14.208 6.676 8.522 Å, 90.00 100.18 90.00°
Space group C2/m (No. 12)
One atom of each set of equivalent atoms:
1 Ta 0.250 0.000 0.000
2 Zn 0.000 0.000 0.500
3 Cl 0.122 0.249 0.910
4 Cl 0.209 0.500 0.251
5 Cl 0.212 0.000 0.252

Record 4
The following is a GGA-PBE calculation of Sr2TlAu after structural relaxation, from Alexandria via LeMat-Bulk.

## Properties
**E_form**: -0.4680 eV/atom
**Raw total energy**: -2.7198 eV/atom
**Polymorph energy (0 for the lowest one)**: 96.7 meV/atom

Cell: 4.3723 4.3723 26.3042 Å, 90.00 90.00 120.00°
Space group R3m (No. 160, hexagonal axes)
One atom of each set of equivalent atoms:
1 Sr 0.0000 0.0000 0.0000
2 Sr 0.0000 0.0000 0.1882
3 Tl 0.0000 0.0000 0.4274
4 Au 0.0000 0.0000 0.5938